Record 1
This record from Alexandria describes crystalline CeB4ClO8 at its relaxed geometry. The functional is PBE-GGA.

a = 6.556 Å, b = 6.556 Å, c = 9.378 Å
α = 81.77°, β = 81.77°, γ = 119.94°
Fractional coordinates of all 28 atoms:
O (0.615, 0.658, 0.677)
O (0.924, 0.085, 0.654)
O (0.544, 0.198, 0.212)
O (0.112, 0.853, 0.662)
O (0.226, 0.790, 0.894)
O (0.284, 0.345, 0.143)
O (0.790, 0.226, 0.394)
O (0.520, 0.967, 0.687)
O (0.967, 0.520, 0.187)
O (0.198, 0.544, 0.712)
O (0.658, 0.615, 0.177)
O (0.828, 0.645, 0.392)
O (0.645, 0.828, 0.892)
O (0.085, 0.924, 0.154)
O (0.345, 0.284, 0.643)
O (0.853, 0.112, 0.162)
B (0.879, 0.679, 0.231)
B (0.258, 0.785, 0.738)
B (0.071, 0.125, 0.153)
B (0.785, 0.258, 0.238)
B (0.379, 0.499, 0.676)
B (0.679, 0.879, 0.731)
B (0.499, 0.379, 0.176)
B (0.125, 0.071, 0.653)
Ce (0.834, 0.443, 0.577)
Ce (0.443, 0.834, 0.077)
Cl (0.672, 0.312, 0.891)
Cl (0.312, 0.672, 0.391)

Computed properties:
uncorrected formation energy: -2.335 eV/atom
VASP energy: -7.632 eV per atom
space group: Cc (9)
density: 3.4 g/cm3



Record 2
This record from Alexandria describes crystalline Er2ZnGa4Cu3 at its relaxed geometry. The functional is PBE-GGA.

a = 4.072 Å, b = 4.072 Å, c = 10.422 Å
α = 90.00°, β = 90.00°, γ = 90.00°
Fractional coordinates of all 10 atoms:
Cu (0.000, 0.500, 0.134)
Cu (0.000, 0.000, 0.500)
Cu (0.500, 0.000, 0.866)
Ga (0.000, 0.000, 0.000)
Ga (0.000, 0.500, 0.360)
Ga (0.500, 0.000, 0.640)
Ga (0.500, 0.500, 0.000)
Er (0.500, 0.000, 0.249)
Er (0.000, 0.500, 0.751)
Zn (0.500, 0.500, 0.500)

Computed properties:
ΔE_f: -423 meV per atom
VASP energy: -3.903 eV per atom
space group: P-4m2 (115)
density: 8.4 g/cm3



Record 3
This record from Alexandria describes crystalline Zr2TeC at its relaxed geometry. The functional is PBE-GGA.

a = 4.692 Å, b = 4.692 Å, c = 4.692 Å
α = 60.00°, β = 60.00°, γ = 60.00°
Fractional coordinates of all 4 atoms:
C (0.000, 0.000, 0.000)
Te (0.500, 0.500, 0.500)
Zr (0.750, 0.750, 0.750)
Zr (0.250, 0.250, 0.250)

Computed properties:
uncorrected formation energy: 0.338 eV/atom
VASP energy: -7.028 eV per atom
space group: Fm-3m (225)
density: 7.3 g/cm3



Record 4
This record from Alexandria describes crystalline BaNaPuN3 at its relaxed geometry. The functional is PBE-GGA.

a = 5.952 Å, b = 5.914 Å, c = 6.918 Å
α = 64.69°, β = 86.39°, γ = 81.54°
Fractional coordinates of all 12 atoms:
Na (0.250, 0.570, 0.861)
Na (0.750, 0.430, 0.139)
Pu (0.750, 0.064, 0.871)
Pu (0.250, 0.936, 0.129)
N (0.978, 0.256, 0.896)
N (0.522, 0.848, 0.896)
N (0.022, 0.744, 0.104)
N (0.250, 0.771, 0.458)
N (0.478, 0.152, 0.104)
N (0.750, 0.229, 0.542)
Ba (0.250, 0.252, 0.497)
Ba (0.750, 0.748, 0.503)

Computed properties:
uncorrected formation energy: -0.612 eV/atom
VASP energy: -7.704 eV per atom
space group: C2/c (15)
density: 6.8 g/cm3



Record 5
This record from Alexandria describes crystalline Na2Mn3S6 at its relaxed geometry. The functional is PBE-GGA.

a = 5.869 Å, b = 5.869 Å, c = 7.035 Å
α = 81.98°, β = 73.79°, γ = 60.00°
Fractional coordinates of all 11 atoms:
Na (0.166, 0.667, 0.500)
Na (0.834, 0.333, 0.500)
Mn (0.332, 0.335, 0.000)
Mn (0.668, 0.665, 0.000)
Mn (0.000, 0.000, 0.000)
S (0.731, 0.000, 0.808)
S (0.603, 0.333, 0.191)
S (0.936, 0.667, 0.191)
S (0.397, 0.667, 0.809)
S (0.269, 0.000, 0.192)
S (0.064, 0.333, 0.809)

Computed properties:
uncorrected formation energy: -0.749 eV/atom
VASP energy: -5.741 eV per atom
space group: C2/m (12)
density: 3.3 g/cm3



Record 6
This record from Alexandria describes crystalline Li4F at its relaxed geometry. The functional is PBE-GGA.

a = 4.261 Å, b = 4.261 Å, c = 4.261 Å
α = 90.00°, β = 90.00°, γ = 90.00°
Fractional coordinates of all 5 atoms:
Li (0.000, 0.000, 0.000)
Li (0.500, 0.000, 0.500)
Li (0.500, 0.500, 0.000)
Li (0.000, 0.500, 0.500)
F (0.500, 0.500, 0.500)

Computed properties:
uncorrected formation energy: -0.981 eV/atom
VASP energy: -2.886 eV per atom
space group: Pm-3m (221)
density: 1.0 g/cm3



Record 7
This record from Alexandria describes crystalline Hf4NbGe2 at its relaxed geometry. The functional is PBE-GGA.

a = 4.680 Å, b = 4.680 Å, c = 8.343 Å
α = 73.71°, β = 73.71°, γ = 60.00°
Fractional coordinates of all 7 atoms:
Hf (0.875, 0.875, 0.376)
Hf (0.276, 0.276, 0.173)
Hf (0.125, 0.125, 0.624)
Hf (0.724, 0.724, 0.827)
Nb (0.500, 0.500, 0.500)
Ge (0.610, 0.610, 0.169)
Ge (0.390, 0.390, 0.831)

Computed properties:
ΔE_f: -123 meV per atom
VASP energy: -8.569 eV per atom
space group: R-3m (166)
density: 10.6 g/cm3



Record 8
This record from Alexandria describes crystalline SrLaSiP2 at its relaxed geometry. The functional is PBE-GGA.

a = 5.024 Å, b = 5.217 Å, c = 5.024 Å
α = 90.00°, β = 90.00°, γ = 90.00°
Fractional coordinates of all 5 atoms:
P (0.500, 0.000, 0.000)
P (0.000, 0.000, 0.500)
La (0.000, 0.500, 0.000)
Sr (0.500, 0.500, 0.500)
Si (0.000, 0.000, 0.000)

Computed properties:
uncorrected formation energy: 0.105 eV/atom
VASP energy: -4.465 eV per atom
space group: P4/mmm (123)
density: 4.0 g/cm3



- Which formula does entry 6 have?
  Li4F



Please write out number 6 again, unchanged.
This record from Alexandria describes crystalline Li4F at its relaxed geometry. The functional is PBE-GGA.

a = 4.261 Å, b = 4.261 Å, c = 4.261 Å
α = 90.00°, β = 90.00°, γ = 90.00°
Fractional coordinates of all 5 atoms:
Li (0.000, 0.000, 0.000)
Li (0.500, 0.000, 0.500)
Li (0.500, 0.500, 0.000)
Li (0.000, 0.500, 0.500)
F (0.500, 0.500, 0.500)

Computed properties:
uncorrected formation energy: -0.981 eV/atom
VASP energy: -2.886 eV per atom
space group: Pm-3m (221)
density: 1.0 g/cm3